Below is a geometry-optimized Ac3In2SnPd6 structure, with properties calculated at the PBE-GGA level.

Unit cell a=6.058 b=6.058 c=9.006 alpha=90.00 beta=90.00 gamma=120.00
Atoms (fractional coordinates):
Ac1 0.000 0.000 0.000
Ac2 0.667 0.333 0.381
Ac3 0.333 0.667 0.619
Pd1 0.177 0.354 0.277
Pd2 0.354 0.177 0.723
Pd3 0.823 0.646 0.723
Pd4 0.177 0.823 0.277
Pd5 0.646 0.823 0.277
Pd6 0.823 0.177 0.723
In1 0.667 0.333 0.983
In2 0.333 0.667 0.017
Sn1 0.000 0.000 0.500

Summary:
Fermi-level density of states = 3.78 states/eV/f.u.
total moment = 0.00 μB/f.u.
formation enthalpy at 0 K = -0.7016 eV per atom
crystal system = trigonal